Record 1
Below is a relaxed structure of Tb3Tm2Ag2, with properties calculated at the PBE level.

Geometry as extended XYZ:
```
7
Lattice="-1.955 -0.593 -2.949 -0.148 -3.494 0.801 -13.433 0.263 6.667" Properties=species:S:1:pos:R:3 pbc="T T T"
Tb -5.232 -3.505 -0.192
Tb 0.000 0.000 0.000
Tb -10.304 -0.319 4.711
Tm -9.286 -2.749 2.343
Tm -6.250 -1.075 2.176
Ag -12.927 -2.070 4.619
Ag -2.609 -1.754 -0.100
```

Computed properties:
Excess energy over the best structure of this formula in the dataset: 0.0 meV per atom
E_form: -0.159 eV/atom
DOS at the Fermi energy: 6.49 states/eV/cell

Record 2
Below is a relaxed structure of TbTmAg2, with properties calculated at the PBE level.

Geometry as extended XYZ:
```
4
Lattice="3.590 0.000 0.000 0.000 3.590 0.000 0.000 0.000 7.359" Properties=species:S:1:pos:R:3 pbc="T T T"
Tm 1.795 1.795 0.000
Tb 1.795 1.795 3.680
Ag 0.000 0.000 5.594
Ag 0.000 0.000 1.765
```

Computed properties:
E_form: -0.326 eV/atom
DOS at the Fermi energy: 2.58 states/eV/cell

Record 3
Below is a relaxed structure of Tb5TmAg6, with properties calculated at the PBE level.

Geometry as extended XYZ:
```
12
Lattice="4.906 -0.030 1.635 0.038 7.221 0.013 -0.001 -0.015 8.182" Properties=species:S:1:pos:R:3 pbc="T T T"
Tm 0.000 0.000 0.000
Tb 3.292 3.581 6.541
Tb 1.637 -0.015 3.264
Tb 0.019 3.611 0.006
Tb 3.267 -0.030 6.552
Tb 1.651 3.596 3.289
Ag 4.125 5.403 4.075
Ag 4.105 1.759 4.069
Ag 2.463 1.761 0.821
Ag 2.482 5.431 0.827
Ag 0.838 5.418 5.761
Ag 0.818 1.774 5.754
```

Computed properties:
E_form: -0.320 eV/atom
DOS at the Fermi energy: 5.98 states/eV/cell

Record 4
Below is a relaxed structure of Tb2YAg2, with properties calculated at the PBE level.

Geometry as extended XYZ:
```
10
Lattice="3.618 0.000 -0.484 0.000 5.258 0.000 -0.017 0.000 13.610" Properties=species:S:1:pos:R:3 pbc="T T T"
Tb 0.171 3.944 1.270
Tb 3.430 1.315 11.855
Tb 0.840 3.944 6.259
Tb 2.761 1.315 6.867
Y 3.079 3.944 9.240
Y 0.522 1.315 3.885
Ag 2.319 3.944 3.555
Ag 1.282 1.315 9.571
Ag 1.622 3.944 12.104
Ag 1.979 1.315 1.021
```

Computed properties:
Excess energy over the best structure of this formula in the dataset: 0.0 meV per atom
E_form: -0.240 eV/atom
DOS at the Fermi energy: 8.01 states/eV/cell

Record 5
Below is a relaxed structure of Tb3YAg2, with properties calculated at the PBE level.

Geometry as extended XYZ:
```
12
Lattice="7.066 0.000 0.000 0.000 7.448 0.000 -3.533 -3.724 7.000" Properties=species:S:1:pos:R:3 pbc="T T T"
Tb 3.533 1.862 0.000
Tb 3.533 5.586 0.000
Tb 3.533 -1.862 3.807
Tb 0.000 1.862 3.193
Tb 0.000 5.586 3.193
Tb 3.533 1.862 3.807
Y 0.000 3.724 0.000
Y 0.000 0.000 0.000
Ag 1.412 0.000 5.008
Ag 4.945 0.000 1.992
Ag -1.412 3.724 5.008
Ag 2.120 3.724 1.992
```

Computed properties:
Excess energy over the best structure of this formula in the dataset: 233.5 meV per atom
E_form: 0.033 eV/atom
DOS at the Fermi energy: 15.70 states/eV/cell

Record 6
Below is a relaxed structure of Tb2Y6Ag, with properties calculated at the PBE level.

Geometry as extended XYZ:
```
9
Lattice="3.587 0.000 -0.072 0.000 10.205 0.000 -1.639 -5.103 7.665" Properties=species:S:1:pos:R:3 pbc="T T T"
Tb 0.043 5.103 2.097
Tb 1.905 0.000 5.496
Y 0.057 1.613 2.775
Y 1.891 6.715 4.818
Y 1.891 3.490 4.818
Y 1.794 2.721 -0.036
Y 0.057 -1.613 2.775
Y 1.794 7.484 -0.036
Ag 0.000 0.000 0.000
```

Computed properties:
E_form: 0.062 eV/atom
DOS at the Fermi energy: 10.26 states/eV/cell

Record 7
Below is a relaxed structure of TbYAg4, with properties calculated at the PBE level.

Geometry as extended XYZ:
```
6
Lattice="5.713 0.000 0.000 2.857 4.948 0.000 2.857 1.649 4.665" Properties=species:S:1:pos:R:3 pbc="T T T"
Y 2.857 1.649 1.166
Tb 0.000 0.000 0.000
Ag 5.713 3.298 0.584
Ag 5.713 1.650 2.915
Ag 7.141 4.123 2.915
Ag 4.285 4.123 2.915
```

Computed properties:
Excess energy over the best structure of this formula in the dataset: 137.4 meV per atom
E_form: -0.176 eV/atom
DOS at the Fermi energy: 5.58 states/eV/cell

Record 8
Below is a relaxed structure of TbY4Ag2, with properties calculated at the PBE level.

Geometry as extended XYZ:
```
7
Lattice="5.453 0.000 0.000 2.727 4.723 0.000 2.727 1.574 8.313" Properties=species:S:1:pos:R:3 pbc="T T T"
Tb 5.453 3.148 4.157
Y 8.180 4.723 6.746
Y 8.180 4.723 3.123
Y 2.727 1.574 1.567
Y 2.727 1.574 5.190
Ag 5.453 3.148 1.338
Ag 5.453 3.148 6.975
```

Computed properties:
E_form: 0.116 eV/atom
DOS at the Fermi energy: 9.61 states/eV/cell

Repeat the fifth record exactly.
Below is a relaxed structure of Tb3YAg2, with properties calculated at the PBE level.

Geometry as extended XYZ:
```
12
Lattice="7.066 0.000 0.000 0.000 7.448 0.000 -3.533 -3.724 7.000" Properties=species:S:1:pos:R:3 pbc="T T T"
Tb 3.533 1.862 0.000
Tb 3.533 5.586 0.000
Tb 3.533 -1.862 3.807
Tb 0.000 1.862 3.193
Tb 0.000 5.586 3.193
Tb 3.533 1.862 3.807
Y 0.000 3.724 0.000
Y 0.000 0.000 0.000
Ag 1.412 0.000 5.008
Ag 4.945 0.000 1.992
Ag -1.412 3.724 5.008
Ag 2.120 3.724 1.992
```

Computed properties:
Excess energy over the best structure of this formula in the dataset: 233.5 meV per atom
E_form: 0.033 eV/atom
DOS at the Fermi energy: 15.70 states/eV/cell

Which of these has the lowest DOS at the Fermi energy?
TbTmAg2

Which formula does entry 2 have?
TbTmAg2